Material: RbCdBS3
Method: DFT, GGA-PBE
State: relaxed

a = 7.596 Å, b = 7.596 Å, c = 10.969 Å
α = 90.00°, β = 90.00°, γ = 152.78°
Atoms (fractional coordinates):
Rb 0.234 0.766 0.750
Rb 0.766 0.234 0.250
Cd 0.500 0.500 0.000
Cd 0.500 0.500 0.500
B 0.043 0.957 0.250
B 0.957 0.043 0.750
S 0.110 0.890 0.102
S 0.110 0.890 0.398
S 0.459 0.541 0.250
S 0.541 0.459 0.750
S 0.890 0.110 0.602
S 0.890 0.110 0.898

Properties
Energy in eV for the cell shown: -49.00
Total magnetization in μB/f.u.: 0.000
Theoretical density in g/cm3: 3.50
Energy relative to the elements, uncorrected in eV/atom: -0.593

---

Material: BeRe2Tc
Method: DFT, GGA-PBE
State: relaxed

a = 4.264 Å, b = 4.264 Å, c = 4.264 Å
α = 60.00°, β = 60.00°, γ = 60.00°
Atoms (fractional coordinates):
Be 0.000 0.000 0.000
Re 0.250 0.250 0.250
Re 0.500 0.500 0.500
Tc 0.750 0.750 0.750

Properties
Energy in eV for the cell shown: -38.67
Total magnetization in μB/f.u.: 0.000
Theoretical density in g/cm3: 14.53
DFT formation energy in eV/atom: 0.079

---

Material: Mg2HgIr
Method: DFT, GGA-PBE
State: relaxed

a = 4.621 Å, b = 4.621 Å, c = 4.621 Å
α = 60.00°, β = 60.00°, γ = 60.00°
Atoms (fractional coordinates):
Mg 0.250 0.250 0.250
Mg 0.750 0.750 0.750
Hg 0.000 0.000 0.000
Ir 0.500 0.500 0.500

Properties
Energy in eV for the cell shown: -13.24
Total magnetization in μB/f.u.: 0.000
Theoretical density in g/cm3: 10.50
DFT formation energy in eV/atom: -0.222
Energy relative to the lowest polymorph listed for this composition in meV/atom: 87.9

---

Material: RbSrAu
Method: DFT, GGA-PBE
State: relaxed

a = 8.303 Å, b = 8.303 Å, c = 8.303 Å
α = 151.52°, β = 151.52°, γ = 40.71°
Atoms (fractional coordinates):
Rb 0.000 0.000 0.000
Sr 0.252 0.252 0.000
Au 0.659 0.659 0.000

Properties
Energy in eV for the cell shown: -6.93
Total magnetization in μB/f.u.: 0.000
Theoretical density in g/cm3: 4.73
DFT formation energy in eV/atom: -0.336

---

Material: V3Mo
Method: DFT, GGA-PBE
State: relaxed

a = 3.874 Å, b = 3.874 Å, c = 3.874 Å
α = 90.00°, β = 90.00°, γ = 90.00°
Atoms (fractional coordinates):
V 0.000 0.000 0.500
V 0.000 0.500 0.000
V 0.500 0.000 0.000
Mo 0.500 0.500 0.500

Properties
Energy in eV for the cell shown: -37.07
Total magnetization in μB/f.u.: 0.000
Theoretical density in g/cm3: 7.10
DFT formation energy in eV/atom: 0.280
Energy relative to the lowest polymorph listed for this composition in meV/atom: 358.9

---

Material: MnMoCl2
Method: DFT, GGA-PBE
State: relaxed

a = 9.001 Å, b = 9.001 Å, c = 9.001 Å
α = 160.59°, β = 160.23°, γ = 27.84°
Atoms (fractional coordinates):
Mn 0.000 0.000 0.000
Mo 0.120 0.620 0.500
Cl 0.417 0.417 0.000
Cl 0.702 0.202 0.500

Properties
Energy in eV for the cell shown: -23.65
Total magnetization in μB/f.u.: 3.052
Theoretical density in g/cm3: 4.50
Energy relative to the elements, uncorrected in eV/atom: 0.012
Energy relative to the lowest polymorph listed for this composition in meV/atom: 315.5

---

Material: Re3OsC
Method: DFT, GGA-PBE
State: relaxed

a = 4.713 Å, b = 4.713 Å, c = 4.713 Å
α = 90.00°, β = 90.00°, γ = 90.00°
Atoms (fractional coordinates):
Re 0.000 0.000 0.500
Re 0.000 0.500 0.000
Re 0.500 0.000 0.000
Os 0.000 0.000 0.000
C 0.500 0.500 0.500

Properties
Energy in eV for the cell shown: -40.22
Total magnetization in μB/f.u.: 1.492
Theoretical density in g/cm3: 12.07
DFT formation energy in eV/atom: 3.515
Energy relative to the lowest polymorph listed for this composition in meV/atom: 3169.8

---

Material: Na2GaI6
Method: DFT, GGA-PBE
State: relaxed

a = 11.951 Å, b = 11.951 Å, c = 6.400 Å
α = 98.00°, β = 98.00°, γ = 115.17°
Atoms (fractional coordinates):
Na 0.045 0.209 0.074
Na 0.209 0.045 0.574
Na 0.791 0.955 0.426
Na 0.955 0.791 0.926
Ga 0.318 0.682 0.250
Ga 0.682 0.318 0.750
I 0.054 0.208 0.584
I 0.140 0.641 0.923
I 0.208 0.054 0.084
I 0.271 0.475 0.386
I 0.359 0.860 0.577
I 0.475 0.271 0.886
I 0.525 0.729 0.114
I 0.641 0.140 0.423
I 0.729 0.525 0.614
I 0.792 0.946 0.916
I 0.860 0.359 0.077
I 0.946 0.792 0.416

Properties
Energy in eV for the cell shown: -42.30
Total magnetization in μB/f.u.: 0.000
Theoretical density in g/cm3: 3.65
Energy relative to the elements, uncorrected in eV/atom: -0.687
Energy relative to the lowest polymorph listed for this composition in meV/atom: 0.0

---

Material: Ni8C
Method: DFT, GGA-PBE
State: relaxed

a = 5.379 Å, b = 5.379 Å, c = 5.379 Å
α = 96.32°, β = 96.32°, γ = 141.26°
Atoms (fractional coordinates):
Ni 0.000 0.320 0.320
Ni 0.000 0.680 0.680
Ni 0.320 0.000 0.320
Ni 0.337 0.337 0.675
Ni 0.337 0.663 0.000
Ni 0.663 0.337 0.000
Ni 0.663 0.663 0.325
Ni 0.680 0.000 0.680
C 0.000 0.000 0.000

Properties
Energy in eV for the cell shown: -51.82
Total magnetization in μB/f.u.: 3.512
Theoretical density in g/cm3: 8.71
DFT formation energy in eV/atom: 0.406

---

Material: PtI5
Method: DFT, GGA-PBE
State: relaxed

a = 3.987 Å, b = 6.455 Å, c = 9.658 Å
α = 92.18°, β = 90.10°, γ = 90.14°
Atoms (fractional coordinates):
Pt 0.000 0.000 0.000
I 0.000 0.528 0.511
I 0.002 0.728 0.236
I 0.499 0.774 0.887
I 0.502 0.229 0.111
I 0.998 0.253 0.753

Properties
Energy in eV for the cell shown: -14.00
Total magnetization in μB/f.u.: 0.000
Theoretical density in g/cm3: 5.55
Energy relative to the elements, uncorrected in eV/atom: -0.036

---

Material: Ba3Si2PbO8
Method: DFT, GGA-PBE
State: relaxed

a = 5.944 Å, b = 5.944 Å, c = 7.733 Å
α = 90.00°, β = 90.00°, γ = 120.00°
Atoms (fractional coordinates):
Ba 0.000 0.000 0.000
Ba 0.333 0.667 0.683
Ba 0.667 0.333 0.317
Si 0.333 0.667 0.210
Si 0.667 0.333 0.790
Pb 0.000 0.000 0.500
O 0.183 0.365 0.288
O 0.183 0.817 0.288
O 0.333 0.667 0.000
O 0.365 0.183 0.712
O 0.635 0.817 0.288
O 0.667 0.333 0.000
O 0.817 0.183 0.712
O 0.817 0.635 0.712

Properties
Energy in eV for the cell shown: -96.96
Total magnetization in μB/f.u.: 0.000
Theoretical density in g/cm3: 5.64
Energy relative to the elements, uncorrected in eV/atom: -2.641

---

Material: K3Tl6Hg5
Method: DFT, GGA-PBE
State: relaxed

a = 5.266 Å, b = 15.620 Å, c = 11.060 Å
α = 90.00°, β = 90.00°, γ = 90.00°
Atoms (fractional coordinates):
K 0.250 0.050 0.248
K 0.250 0.450 0.248
K 0.250 0.750 0.259
K 0.750 0.250 0.741
K 0.750 0.550 0.752
K 0.750 0.950 0.752
Tl 0.250 0.078 0.594
Tl 0.250 0.250 0.051
Tl 0.250 0.250 0.417
Tl 0.250 0.422 0.594
Tl 0.250 0.607 0.978
Tl 0.250 0.893 0.978
Tl 0.750 0.107 0.022
Tl 0.750 0.393 0.022
Tl 0.750 0.578 0.406
Tl 0.750 0.750 0.583
Tl 0.750 0.750 0.949
Tl 0.750 0.922 0.406
Hg 0.250 0.086 0.876
Hg 0.250 0.414 0.876
Hg 0.250 0.622 0.538
Hg 0.250 0.750 0.767
Hg 0.250 0.878 0.538
Hg 0.750 0.122 0.462
Hg 0.750 0.250 0.233
Hg 0.750 0.378 0.462
Hg 0.750 0.586 0.124
Hg 0.750 0.914 0.124

Properties
Energy in eV for the cell shown: -41.66
Total magnetization in μB/f.u.: 0.000
Theoretical density in g/cm3: 8.57
DFT formation energy in eV/atom: -0.131

---

Material: CoSiPb
Method: DFT, GGA-PBE
State: relaxed

a = 3.478 Å, b = 3.478 Å, c = 5.454 Å
α = 90.00°, β = 90.00°, γ = 120.00°
Atoms (fractional coordinates):
Co 0.000 0.000 0.000
Si 0.333 0.667 0.827
Pb 0.667 0.333 0.371

Properties
Energy in eV for the cell shown: -15.50
Total magnetization in μB/f.u.: 0.000
Theoretical density in g/cm3: 8.55
Energy relative to the elements, uncorrected in eV/atom: 0.246
Energy relative to the lowest polymorph listed for this composition in meV/atom: 29.9

---

Material: Ce2TmSbN5
Method: DFT, GGA-PBE
State: relaxed

a = 7.175 Å, b = 7.175 Å, c = 10.645 Å
α = 90.00°, β = 90.00°, γ = 152.01°
Atoms (fractional coordinates):
Ce 0.114 0.886 0.500
Ce 0.144 0.856 0.088
Ce 0.856 0.144 0.588
Ce 0.886 0.114 0.000
Tm 0.220 0.780 0.808
Tm 0.780 0.220 0.308
Sb 0.476 0.524 0.269
Sb 0.524 0.476 0.769
N 0.055 0.945 0.869
N 0.279 0.721 0.469
N 0.322 0.678 0.172
N 0.378 0.622 0.818
N 0.487 0.513 0.583
N 0.513 0.487 0.083
N 0.622 0.378 0.318
N 0.678 0.322 0.672
N 0.721 0.279 0.969
N 0.945 0.055 0.369

Properties
Energy in eV for the cell shown: -140.13
Total magnetization in μB/f.u.: 0.978
Theoretical density in g/cm3: 8.28
Energy relative to the elements, uncorrected in eV/atom: -0.886

---

Material: TaHg2Pb
Method: DFT, GGA-PBE
State: relaxed

a = 3.223 Å, b = 4.134 Å, c = 6.908 Å
α = 90.00°, β = 90.00°, γ = 90.00°
Atoms (fractional coordinates):
Ta 0.000 0.000 0.000
Hg 0.000 0.000 0.455
Hg 0.500 0.500 0.207
Pb 0.500 0.500 0.747

Properties
Energy in eV for the cell shown: -14.16
Total magnetization in μB/f.u.: 0.000
Theoretical density in g/cm3: 14.24
DFT formation energy in eV/atom: 0.500

---

Material: K2LiCuCl6
Method: DFT, GGA-PBE
State: relaxed

a = 7.571 Å, b = 7.217 Å, c = 11.565 Å
α = 90.00°, β = 124.65°, γ = 90.00°
Atoms (fractional coordinates):
K 0.223 0.030 0.233
K 0.223 0.470 0.733
K 0.777 0.530 0.267
K 0.777 0.970 0.767
Li 0.000 0.000 0.500
Li 0.000 0.500 0.000
Cu 0.500 0.000 0.000
Cu 0.500 0.500 0.500
Cl 0.160 0.238 0.466
Cl 0.160 0.262 0.966
Cl 0.281 0.733 0.457
Cl 0.281 0.767 0.957
Cl 0.355 0.034 0.772
Cl 0.355 0.466 0.272
Cl 0.645 0.534 0.728
Cl 0.645 0.966 0.228
Cl 0.719 0.233 0.043
Cl 0.719 0.267 0.543
Cl 0.840 0.738 0.034
Cl 0.840 0.762 0.534

Properties
Energy in eV for the cell shown: -63.92
Total magnetization in μB/f.u.: 0.000
Theoretical density in g/cm3: 2.31
Energy relative to the elements, uncorrected in eV/atom: -1.268

---

Material: SrGa6Cu4
Method: DFT, GGA-PBE
State: relaxed

a = 7.243 Å, b = 7.243 Å, c = 4.092 Å
α = 90.00°, β = 90.00°, γ = 120.00°
Atoms (fractional coordinates):
Sr 0.000 0.000 0.000
Ga 0.201 0.402 0.500
Ga 0.201 0.799 0.500
Ga 0.535 0.070 0.000
Ga 0.535 0.465 0.000
Ga 0.598 0.799 0.500
Ga 0.930 0.465 0.000
Cu 0.333 0.667 0.000
Cu 0.424 0.212 0.500
Cu 0.788 0.212 0.500
Cu 0.788 0.576 0.500

Properties
Energy in eV for the cell shown: -38.64
Total magnetization in μB/f.u.: 0.000
Theoretical density in g/cm3: 6.79
DFT formation energy in eV/atom: -0.219

---

Material: CdOsC3
Method: DFT, GGA-PBE
State: relaxed

a = 4.098 Å, b = 4.098 Å, c = 4.098 Å
α = 90.00°, β = 90.00°, γ = 90.00°
Atoms (fractional coordinates):
Cd 0.000 0.000 0.000
Os 0.500 0.500 0.500
C 0.000 0.000 0.500
C 0.000 0.500 0.000
C 0.500 0.000 0.000

Properties
Energy in eV for the cell shown: -20.16
Total magnetization in μB/f.u.: 0.002
Theoretical density in g/cm3: 8.17
DFT formation energy in eV/atom: 3.932
Energy relative to the lowest polymorph listed for this composition in meV/atom: 2055.5

---

Material: Pm2Zn12Cu3Ir
Method: DFT, GGA-PBE
State: relaxed

a = 11.764 Å, b = 11.764 Å, c = 11.764 Å
α = 28.17°, β = 28.17°, γ = 28.17°
Atoms (fractional coordinates):
Pm 0.142 0.142 0.142
Pm 0.858 0.858 0.858
Zn 0.100 0.100 0.644
Zn 0.100 0.644 0.100
Zn 0.108 0.609 0.609
Zn 0.356 0.900 0.900
Zn 0.391 0.391 0.892
Zn 0.391 0.892 0.391
Zn 0.609 0.108 0.609
Zn 0.609 0.609 0.108
Zn 0.644 0.100 0.100
Zn 0.892 0.391 0.391
Zn 0.900 0.356 0.900
Zn 0.900 0.900 0.356
Cu 0.000 0.500 0.500
Cu 0.500 0.000 0.500
Cu 0.500 0.500 0.000
Ir 0.500 0.500 0.500

Properties
Energy in eV for the cell shown: -47.07
Total magnetization in μB/f.u.: 0.000
Theoretical density in g/cm3: 7.55
DFT formation energy in eV/atom: -0.063

---

Material: SiNi2Pt
Method: DFT, GGA-PBE
State: relaxed

a = 7.962 Å, b = 7.962 Å, c = 7.962 Å
α = 19.89°, β = 19.89°, γ = 19.89°
Atoms (fractional coordinates):
Si 0.000 0.000 0.000
Ni 0.489 0.489 0.489
Ni 0.738 0.738 0.738
Pt 0.249 0.249 0.249

Properties
Energy in eV for the cell shown: -23.73
Total magnetization in μB/f.u.: 0.000
Theoretical density in g/cm3: 11.06
Energy relative to the elements, uncorrected in eV/atom: -0.175

---

Material: NdY3Pu2Se6
Method: DFT, GGA-PBE
State: relaxed

a = 7.134 Å, b = 7.134 Å, c = 7.191 Å
α = 99.52°, β = 99.52°, γ = 120.05°
Atoms (fractional coordinates):
Nd 0.000 0.000 0.000
Y 0.165 0.835 0.500
Y 0.500 0.500 0.500
Y 0.835 0.165 0.500
Pu 0.333 0.667 0.000
Pu 0.667 0.333 0.000
Se 0.086 0.424 0.257
Se 0.253 0.253 0.744
Se 0.424 0.086 0.257
Se 0.576 0.914 0.743
Se 0.747 0.747 0.256
Se 0.914 0.576 0.743

Properties
Energy in eV for the cell shown: -94.43
Total magnetization in μB/f.u.: 11.758
Theoretical density in g/cm3: 7.63
Energy relative to the elements, uncorrected in eV/atom: -1.725

---

Material: ZrTa2In
Method: DFT, GGA-PBE
State: relaxed

a = 3.480 Å, b = 3.480 Å, c = 6.689 Å
α = 90.00°, β = 90.00°, γ = 90.00°
Atoms (fractional coordinates):
Zr 0.000 0.000 0.000
Ta 0.000 0.000 0.538
Ta 0.500 0.500 0.748
In 0.500 0.500 0.279

Properties
Energy in eV for the cell shown: -35.18
Total magnetization in μB/f.u.: 0.000
Theoretical density in g/cm3: 11.64
DFT formation energy in eV/atom: -0.048

---

Material: ScBi3B
Method: DFT, GGA-PBE
State: relaxed

a = 5.572 Å, b = 5.572 Å, c = 5.572 Å
α = 90.00°, β = 90.00°, γ = 90.00°
Atoms (fractional coordinates):
Sc 0.000 0.000 0.000
Bi 0.000 0.000 0.500
Bi 0.000 0.500 0.000
Bi 0.500 0.000 0.000
B 0.500 0.500 0.500

Properties
Energy in eV for the cell shown: -19.03
Total magnetization in μB/f.u.: 0.000
Theoretical density in g/cm3: 6.55
DFT formation energy in eV/atom: 1.124
Energy relative to the lowest polymorph listed for this composition in meV/atom: 530.1